# Be2AgPt GGA-PBE optimized geometry
data_Be2AgPt
_symmetry_space_group_name_H-M 'I m m m'
_symmetry_Int_Tables_number 71
_symmetry_space_group_name_Hall '-I 2 2'
_cell_length_a 2.706
_cell_length_b 4.739
_cell_length_c 9.236
_cell_angle_alpha 90.00
_cell_angle_beta 90.00
_cell_angle_gamma 90.00
loop_
_atom_site_label
_atom_site_type_symbol
_atom_site_fract_x
_atom_site_fract_y
_atom_site_fract_z
_atom_site_occupancy
Be1 Be 0.000 0.000 0.240 1
Ag1 Ag 0.000 0.000 0.500 1
Pt1 Pt 0.000 0.000 0.000 1
# Energy above the most stable polymorph in this dataset = 0.7551 eV/atom
# Formation energy from the elements = 0.4462 eV/atom


# Be2AgPt GGA-PBE optimized geometry
data_Be2AgPt
_symmetry_space_group_name_H-M 'P 4/m m m'
_symmetry_Int_Tables_number 123
_symmetry_space_group_name_Hall '-P 4 2'
_cell_length_a 2.855
_cell_length_b 2.855
_cell_length_c 6.066
_cell_angle_alpha 90.00
_cell_angle_beta 90.00
_cell_angle_gamma 90.00
loop_
_atom_site_label
_atom_site_type_symbol
_atom_site_fract_x
_atom_site_fract_y
_atom_site_fract_z
_atom_site_occupancy
Be1 Be 0.000 0.000 0.222 1
Ag1 Ag 0.500 0.500 0.500 1
Pt1 Pt 0.500 0.500 0.000 1
# Energy above the most stable polymorph in this dataset = 0.0000 eV/atom
# Formation energy from the elements = -0.3088 eV/atom


# Be2AgPt GGA-PBE optimized geometry
data_Be2AgPt
_symmetry_space_group_name_H-M 'F -4 3 m'
_symmetry_Int_Tables_number 216
_symmetry_space_group_name_Hall 'F -4 2 3'
_cell_length_a 5.970
_cell_length_b 5.970
_cell_length_c 5.970
_cell_angle_alpha 90.00
_cell_angle_beta 90.00
_cell_angle_gamma 90.00
loop_
_atom_site_label
_atom_site_type_symbol
_atom_site_fract_x
_atom_site_fract_y
_atom_site_fract_z
_atom_site_occupancy
Be1 Be 0.000 0.000 0.000 1
Be2 Be 0.250 0.250 0.250 1
Ag1 Ag 0.000 0.000 0.500 1
Pt1 Pt 0.250 0.250 0.750 1
# Energy above the most stable polymorph in this dataset = 0.4142 eV/atom
# Formation energy from the elements = 0.1054 eV/atom


# Be2AgPt GGA-PBE optimized geometry
data_Be2AgPt
_symmetry_space_group_name_H-M 'C 1 2/m 1'
_symmetry_Int_Tables_number 12
_symmetry_space_group_name_Hall '-C 2y'
_cell_length_a 7.708
_cell_length_b 2.823
_cell_length_c 5.015
_cell_angle_alpha 90.00
_cell_angle_beta 102.83
_cell_angle_gamma 90.00
loop_
_atom_site_label
_atom_site_type_symbol
_atom_site_fract_x
_atom_site_fract_y
_atom_site_fract_z
_atom_site_occupancy
Be1 Be 0.240 0.000 0.181 1
Ag1 Ag 0.000 0.000 0.500 1
Pt1 Pt 0.000 0.500 0.000 1
# Energy above the most stable polymorph in this dataset = 0.1620 eV/atom
# Formation energy from the elements = -0.1468 eV/atom


# BeAgPt GGA-PBE optimized geometry
data_BeAgPt
_symmetry_space_group_name_H-M 'F -4 3 m'
_symmetry_Int_Tables_number 216
_symmetry_space_group_name_Hall 'F -4 2 3'
_cell_length_a 5.610
_cell_length_b 5.610
_cell_length_c 5.610
_cell_angle_alpha 90.00
_cell_angle_beta 90.00
_cell_angle_gamma 90.00
loop_
_atom_site_label
_atom_site_type_symbol
_atom_site_fract_x
_atom_site_fract_y
_atom_site_fract_z
_atom_site_occupancy
Be1 Be 0.000 0.000 0.000 1
Ag1 Ag 0.250 0.250 0.250 1
Pt1 Pt 0.250 0.250 0.750 1
# Energy above the most stable polymorph in this dataset = 0.1645 eV/atom
# Formation energy from the elements = -0.1781 eV/atom


# Be2AgPt GGA-PBE optimized geometry
data_Be2AgPt
_symmetry_space_group_name_H-M 'A m m 2'
_symmetry_Int_Tables_number 38
_symmetry_space_group_name_Hall 'A 2 -2'
_cell_length_a 3.849
_cell_length_b 2.806
_cell_length_c 9.040
_cell_angle_alpha 90.00
_cell_angle_beta 90.00
_cell_angle_gamma 90.00
loop_
_atom_site_label
_atom_site_type_symbol
_atom_site_fract_x
_atom_site_fract_y
_atom_site_fract_z
_atom_site_occupancy
Be1 Be 0.000 0.000 0.000 1
Be2 Be 0.500 0.000 0.149 1
Ag1 Ag 0.500 0.000 0.417 1
Pt1 Pt 0.000 0.000 0.716 1
# Energy above the most stable polymorph in this dataset = 0.0249 eV/atom
# Formation energy from the elements = -0.2840 eV/atom


# BeAg4Pt GGA-PBE optimized geometry
data_BeAg4Pt
_symmetry_space_group_name_H-M 'F -4 3 m'
_symmetry_Int_Tables_number 216
_symmetry_space_group_name_Hall 'F -4 2 3'
_cell_length_a 7.524
_cell_length_b 7.524
_cell_length_c 7.524
_cell_angle_alpha 90.00
_cell_angle_beta 90.00
_cell_angle_gamma 90.00
loop_
_atom_site_label
_atom_site_type_symbol
_atom_site_fract_x
_atom_site_fract_y
_atom_site_fract_z
_atom_site_occupancy
Be1 Be 0.000 0.000 0.000 1
Ag1 Ag 0.125 0.125 0.375 1
Pt1 Pt 0.250 0.250 0.750 1
# Formation energy from the elements = 0.5142 eV/atom


# Be2AgPt GGA-PBE optimized geometry
data_Be2AgPt
_symmetry_space_group_name_H-M 'P 4 m m'
_symmetry_Int_Tables_number 99
_symmetry_space_group_name_Hall 'P 4 -2'
_cell_length_a 2.898
_cell_length_b 2.898
_cell_length_c 5.931
_cell_angle_alpha 90.00
_cell_angle_beta 90.00
_cell_angle_gamma 90.00
loop_
_atom_site_label
_atom_site_type_symbol
_atom_site_fract_x
_atom_site_fract_y
_atom_site_fract_z
_atom_site_occupancy
Be1 Be 0.000 0.000 0.000 1
Be2 Be 0.500 0.500 0.204 1
Ag1 Ag 0.500 0.500 0.763 1
Pt1 Pt 0.000 0.000 0.393 1
# Energy above the most stable polymorph in this dataset = 0.0809 eV/atom
# Formation energy from the elements = -0.2280 eV/atom


# Be2AgPt GGA-PBE optimized geometry
data_Be2AgPt
_symmetry_space_group_name_H-M 'C 1 m 1'
_symmetry_Int_Tables_number 8
_symmetry_space_group_name_Hall 'C -2y'
_cell_length_a 8.817
_cell_length_b 2.781
_cell_length_c 4.185
_cell_angle_alpha 90.00
_cell_angle_beta 105.82
_cell_angle_gamma 90.00
loop_
_atom_site_label
_atom_site_type_symbol
_atom_site_fract_x
_atom_site_fract_y
_atom_site_fract_z
_atom_site_occupancy
Be1 Be 0.000 0.000 0.000 1
Be2 Be 0.236 0.500 0.341 1
Ag1 Ag 0.487 0.000 0.495 1
Pt1 Pt 0.264 0.000 0.877 1
# Energy above the most stable polymorph in this dataset = 0.0708 eV/atom
# Formation energy from the elements = -0.2381 eV/atom


# Sc2Be2AgPt5 GGA-PBE optimized geometry
data_Sc2Be2AgPt5
_symmetry_space_group_name_H-M 'P 4/m b m'
_symmetry_Int_Tables_number 127
_symmetry_space_group_name_Hall '-P 4 2ab'
_cell_length_a 9.310
_cell_length_b 9.310
_cell_length_c 3.501
_cell_angle_alpha 90.00
_cell_angle_beta 90.00
_cell_angle_gamma 90.00
loop_
_atom_site_label
_atom_site_type_symbol
_atom_site_fract_x
_atom_site_fract_y
_atom_site_fract_z
_atom_site_occupancy
Sc1 Sc 0.177 0.323 0.000 1
Be1 Be 0.122 0.622 0.000 1
Ag1 Ag 0.000 0.000 0.000 1
Pt1 Pt 0.000 0.500 0.500 1
Pt2 Pt 0.072 0.786 0.500 1
# Formation energy from the elements = -0.8686 eV/atom


# Sm2Be3AgPt4 GGA-PBE optimized geometry
data_Sm2Be3AgPt4
_symmetry_space_group_name_H-M 'P -4 m 2'
_symmetry_Int_Tables_number 115
_symmetry_space_group_name_Hall 'P -4 -2'
_cell_length_a 4.032
_cell_length_b 4.032
_cell_length_c 10.486
_cell_angle_alpha 90.00
_cell_angle_beta 90.00
_cell_angle_gamma 90.00
loop_
_atom_site_label
_atom_site_type_symbol
_atom_site_fract_x
_atom_site_fract_y
_atom_site_fract_z
_atom_site_occupancy
Sm1 Sm 0.000 0.500 0.239 1
Be1 Be 0.000 0.500 0.888 1
Be2 Be 0.500 0.500 0.500 1
Ag1 Ag 0.000 0.000 0.500 1
Pt1 Pt 0.000 0.000 0.000 1
Pt2 Pt 0.000 0.500 0.669 1
Pt3 Pt 0.500 0.500 0.000 1
# Formation energy from the elements = -0.7687 eV/atom


# TiBeAgPt2 GGA-PBE optimized geometry
data_TiBeAgPt2
_symmetry_space_group_name_H-M 'P 4/m m m'
_symmetry_Int_Tables_number 123
_symmetry_space_group_name_Hall '-P 4 2'
_cell_length_a 4.663
_cell_length_b 4.663
_cell_length_c 4.919
_cell_angle_alpha 90.00
_cell_angle_beta 90.00
_cell_angle_gamma 90.00
loop_
_atom_site_label
_atom_site_type_symbol
_atom_site_fract_x
_atom_site_fract_y
_atom_site_fract_z
_atom_site_occupancy
Ti1 Ti 0.000 0.000 0.000 1
Be1 Be 0.500 0.500 0.500 1
Ag1 Ag 0.000 0.000 0.500 1
Pt1 Pt 0.000 0.500 0.000 1
# Formation energy from the elements = 1.0736 eV/atom


Repeat the eighth record exactly.
# Be2AgPt GGA-PBE optimized geometry
data_Be2AgPt
_symmetry_space_group_name_H-M 'P 4 m m'
_symmetry_Int_Tables_number 99
_symmetry_space_group_name_Hall 'P 4 -2'
_cell_length_a 2.898
_cell_length_b 2.898
_cell_length_c 5.931
_cell_angle_alpha 90.00
_cell_angle_beta 90.00
_cell_angle_gamma 90.00
loop_
_atom_site_label
_atom_site_type_symbol
_atom_site_fract_x
_atom_site_fract_y
_atom_site_fract_z
_atom_site_occupancy
Be1 Be 0.000 0.000 0.000 1
Be2 Be 0.500 0.500 0.204 1
Ag1 Ag 0.500 0.500 0.763 1
Pt1 Pt 0.000 0.000 0.393 1
# Energy above the most stable polymorph in this dataset = 0.0809 eV/atom
# Formation energy from the elements = -0.2280 eV/atom


Which value of formation energy from the elements does entry 5 give? -0.1781 eV/atom


Number 1 is which compound? Be2AgPt